# 1
A relaxed structure of HfSnS2N, computed with GGA-PBE.

Geometry as extended XYZ:
```
5
Lattice="-1.926 -1.806 -4.224 -3.440 -2.468 2.624 -2.373 3.064 -0.228" Properties=species:S:1:pos:R:3 pbc="T T T"
Sn 0.000 0.000 0.000
S -0.963 -0.903 -2.112
S -1.720 -1.234 1.312
N -1.186 1.532 -0.114
Hf -3.870 -0.605 -0.914
```

Values from the calculation:
- formation energy without anion corrections (meV/atom) = 532.3
- energy above the lowest structure with this stoichiometry (eV per atom) = 0.968
- final energy (eV per atom) = -5.57
- DOS(E_F) (states/eV per cell) = 1.369

---

# 2
A relaxed structure of HfTcSN2, computed with GGA-PBE.

Geometry as extended XYZ:
```
5
Lattice="3.841 0.000 0.000 0.000 3.841 0.000 0.000 0.000 4.768" Properties=species:S:1:pos:R:3 pbc="T T T"
N 0.000 1.920 0.000
N 1.920 0.000 0.000
S 0.000 0.000 2.384
Hf 1.920 1.920 2.384
Tc 0.000 0.000 0.000
```

Values from the calculation:
- formation energy without anion corrections (meV/atom) = 209.3
- energy above the lowest structure with this stoichiometry (eV per atom) = 0.000
- final energy (eV per atom) = -8.01
- DOS(E_F) (states/eV per cell) = 2.770

---

# 3
A relaxed structure of HfTcS2N, computed with GGA-PBE.

Geometry as extended XYZ:
```
5
Lattice="4.995 0.000 0.000 0.000 4.995 0.000 0.000 0.000 4.050" Properties=species:S:1:pos:R:3 pbc="T T T"
S 2.497 0.000 0.000
S 0.000 2.497 0.000
Hf 0.000 0.000 0.000
N 0.000 0.000 2.025
Tc 2.497 2.497 2.025
```

Values from the calculation:
- formation energy without anion corrections (meV/atom) = 338.6
- energy above the lowest structure with this stoichiometry (eV per atom) = 0.303
- final energy (eV per atom) = -7.04
- DOS(E_F) (states/eV per cell) = 3.192

---

# 4
A relaxed structure of HfTcSN2, computed with GGA-PBE.

Geometry as extended XYZ:
```
5
Lattice="4.062 0.000 0.000 0.000 4.062 0.000 0.000 0.000 5.250" Properties=species:S:1:pos:R:3 pbc="T T T"
N 0.000 2.031 0.000
N 2.031 0.000 0.000
Hf 0.000 0.000 0.000
S 0.000 0.000 2.625
Tc 2.031 2.031 2.625
```

Values from the calculation:
- formation energy without anion corrections (meV/atom) = 654.5
- energy above the lowest structure with this stoichiometry (eV per atom) = 0.445
- final energy (eV per atom) = -7.56
- DOS(E_F) (states/eV per cell) = 2.774

---

# 5
A relaxed structure of HfTcS2N, computed with GGA-PBE.

Geometry as extended XYZ:
```
5
Lattice="-0.011 -4.227 -2.217 -0.726 -1.670 3.189 -4.679 0.448 -0.830" Properties=species:S:1:pos:R:3 pbc="T T T"
S -2.339 0.224 -0.415
S -0.006 -2.114 -1.108
Tc 0.000 0.000 0.000
N -0.363 -0.835 1.594
Hf -2.708 -2.725 0.071
```

Values from the calculation:
- formation energy without anion corrections (meV/atom) = 35.1
- energy above the lowest structure with this stoichiometry (eV per atom) = 0.000
- final energy (eV per atom) = -7.34
- DOS(E_F) (states/eV per cell) = 4.634

---

# 6
A relaxed structure of HfTiS2N, computed with GGA-PBE.

Geometry as extended XYZ:
```
5
Lattice="4.733 0.000 0.000 0.000 4.733 0.000 0.000 0.000 3.704" Properties=species:S:1:pos:R:3 pbc="T T T"
Ti 0.000 0.000 0.000
S 0.000 2.367 0.000
S 2.367 0.000 0.000
Hf 2.367 2.367 1.852
N 0.000 0.000 1.852
```

Values from the calculation:
- formation energy without anion corrections (meV/atom) = -469.6
- energy above the lowest structure with this stoichiometry (eV per atom) = 0.000
- final energy (eV per atom) = -7.36
- DOS(E_F) (states/eV per cell) = 3.432

---

# 7
A relaxed structure of HfTiS2N, computed with GGA-PBE.

Geometry as extended XYZ:
```
5
Lattice="4.943 0.000 0.000 0.000 4.943 0.000 0.000 0.000 3.971" Properties=species:S:1:pos:R:3 pbc="T T T"
Hf 0.000 0.000 0.000
S 2.471 0.000 0.000
S 0.000 2.471 0.000
Ti 2.471 2.471 1.986
N 0.000 0.000 1.986
```

Values from the calculation:
- formation energy without anion corrections (meV/atom) = -233.4
- energy above the lowest structure with this stoichiometry (eV per atom) = 0.236
- final energy (eV per atom) = -7.12
- DOS(E_F) (states/eV per cell) = 6.039

---

# 8
A relaxed structure of HfUS2N, computed with GGA-PBE.

Geometry as extended XYZ:
```
10
Lattice="-3.078 1.502 -1.327 1.024 -0.912 -3.408 -6.032 -11.292 1.210" Properties=species:S:1:pos:R:3 pbc="T T T"
U -5.143 -5.995 0.059
U -1.916 -5.002 -1.217
S -6.886 -9.258 0.408
S -3.749 -8.433 -0.849
S -0.173 -1.739 -1.566
S -3.310 -2.564 -0.309
Hf -4.978 -10.733 -0.603
Hf -2.081 -0.264 -0.555
N -3.016 -5.646 0.605
N -4.043 -5.351 -1.763
```

Values from the calculation:
- formation energy without anion corrections (meV/atom) = -1470.4
- final energy (eV per atom) = -9.03
- DOS(E_F) (states/eV per cell) = 11.862

---

# 9
A relaxed structure of HfWS2N, computed with GGA-PBE.

Geometry as extended XYZ:
```
5
Lattice="-2.828 -3.404 -1.844 3.769 -2.943 -0.346 -0.696 -1.298 3.462" Properties=species:S:1:pos:R:3 pbc="T T T"
S -1.414 -1.702 -0.922
S 1.885 -1.472 -0.173
Hf 0.123 -3.823 0.636
W 0.000 0.000 0.000
N -0.348 -0.649 1.731
```

Values from the calculation:
- formation energy without anion corrections (meV/atom) = 34.9
- energy above the lowest structure with this stoichiometry (eV per atom) = 0.000
- final energy (eV per atom) = -7.86
- DOS(E_F) (states/eV per cell) = 4.646

---

# 10
A relaxed structure of HfWS2N, computed with GGA-PBE.

Geometry as extended XYZ:
```
5
Lattice="4.970 0.000 0.000 0.000 4.970 0.000 0.000 0.000 3.948" Properties=species:S:1:pos:R:3 pbc="T T T"
W 2.485 2.485 1.974
S 0.000 2.485 0.000
S 2.485 0.000 0.000
N 0.000 0.000 1.974
Hf 0.000 0.000 0.000
```

Values from the calculation:
- formation energy without anion corrections (meV/atom) = 629.7
- energy above the lowest structure with this stoichiometry (eV per atom) = 0.595
- final energy (eV per atom) = -7.27
- DOS(E_F) (states/eV per cell) = 3.166

---

# 11
A relaxed structure of YHfS2N, computed with GGA-PBE.

Geometry as extended XYZ:
```
5
Lattice="-2.254 3.809 -2.625 1.320 -2.269 -4.426 -3.436 -2.024 0.013" Properties=species:S:1:pos:R:3 pbc="T T T"
N -1.718 -1.012 0.007
S -1.127 1.904 -1.312
S 0.660 -1.135 -2.213
Y 0.000 0.000 0.000
Hf -2.185 -0.242 -3.519
```

Values from the calculation:
- formation energy without anion corrections (meV/atom) = 53.0
- energy above the lowest structure with this stoichiometry (eV per atom) = 1.174
- final energy (eV per atom) = -6.55
- DOS(E_F) (states/eV per cell) = 1.359

---

# 12
A relaxed structure of YHfSN2, computed with GGA-PBE.

Geometry as extended XYZ:
```
5
Lattice="4.222 0.000 0.000 0.000 4.222 0.000 0.000 0.000 5.116" Properties=species:S:1:pos:R:3 pbc="T T T"
Y 0.000 0.000 0.000
N 2.111 0.000 0.000
N 0.000 2.111 0.000
Hf 2.111 2.111 2.558
S 0.000 0.000 2.558
```

Values from the calculation:
- formation energy without anion corrections (meV/atom) = 443.9
- energy above the lowest structure with this stoichiometry (eV per atom) = 1.317
- final energy (eV per atom) = -7.00
- DOS(E_F) (states/eV per cell) = 3.659

---

# 13
A relaxed structure of YHfS2N, computed with GGA-PBE.

Geometry as extended XYZ:
```
5
Lattice="-4.683 1.387 0.907 0.716 -0.757 4.857 1.211 3.815 0.416" Properties=species:S:1:pos:R:3 pbc="T T T"
Y -1.378 2.223 3.090
S 0.358 -0.378 2.428
S -2.341 0.694 0.453
Hf 0.000 0.000 0.000
N 0.605 1.908 0.208
```

Values from the calculation:
- formation energy without anion corrections (meV/atom) = -1120.9
- energy above the lowest structure with this stoichiometry (eV per atom) = 0.000
- final energy (eV per atom) = -7.72
- DOS(E_F) (states/eV per cell) = 1.126

---

# 14
A relaxed structure of YHfSN2, computed with GGA-PBE.

Geometry as extended XYZ:
```
5
Lattice="4.135 0.000 0.000 0.000 4.135 0.000 0.000 0.000 4.985" Properties=species:S:1:pos:R:3 pbc="T T T"
S 0.000 0.000 2.493
Hf 0.000 0.000 0.000
N 2.068 0.000 0.000
N 0.000 2.068 0.000
Y 2.068 2.068 2.493
```

Values from the calculation:
- formation energy without anion corrections (meV/atom) = -872.9
- energy above the lowest structure with this stoichiometry (eV per atom) = 0.000
- final energy (eV per atom) = -8.31
- DOS(E_F) (states/eV per cell) = 2.110

---

# 15
A relaxed structure of HfZrSN, computed with GGA-PBE.

Geometry as extended XYZ:
```
4
Lattice="-2.218 -0.605 -2.421 2.991 -1.470 -0.078 -1.749 -3.815 4.868" Properties=species:S:1:pos:R:3 pbc="T T T"
S -1.628 -2.508 -0.617
N -0.574 -4.359 3.485
Hf 2.493 -1.717 0.011
Zr -1.828 -3.053 2.005
```

Values from the calculation:
- formation energy without anion corrections (meV/atom) = -1537.7
- final energy (eV per atom) = -9.28
- DOS(E_F) (states/eV per cell) = 2.072

---

# 16
A relaxed structure of HfZrS2N, computed with GGA-PBE.

Geometry as extended XYZ:
```
5
Lattice="-4.873 -0.725 -0.216 0.751 -4.814 -0.766 -0.079 -0.633 3.898" Properties=species:S:1:pos:R:3 pbc="T T T"
Zr -2.101 -3.086 1.458
Hf 0.000 0.000 0.000
S 0.375 -2.407 -0.383
S -2.437 -0.363 -0.108
N -0.039 -0.316 1.949
```

Values from the calculation:
- formation energy without anion corrections (meV/atom) = -510.1
- energy above the lowest structure with this stoichiometry (eV per atom) = 0.000
- final energy (eV per atom) = -7.53
- DOS(E_F) (states/eV per cell) = 3.017

---

# 17
A relaxed structure of HfZrS2N, computed with GGA-PBE.

Geometry as extended XYZ:
```
5
Lattice="4.995 0.000 0.000 0.000 4.995 0.000 0.000 0.000 3.945" Properties=species:S:1:pos:R:3 pbc="T T T"
Hf 2.497 2.497 1.973
S 2.497 0.000 0.000
S 0.000 2.497 0.000
N 0.000 0.000 1.973
Zr 0.000 0.000 0.000
```

Values from the calculation:
- formation energy without anion corrections (meV/atom) = -242.5
- energy above the lowest structure with this stoichiometry (eV per atom) = 0.268
- final energy (eV per atom) = -7.26
- DOS(E_F) (states/eV per cell) = 2.844

---

# 18
A relaxed structure of Hf12Sb6N, computed with GGA-PBE.

Geometry as extended XYZ:
```
19
Lattice="7.746 -0.175 -0.209 -1.347 7.630 -0.209 -1.347 -1.569 7.470" Properties=species:S:1:pos:R:3 pbc="T T T"
Hf 2.185 3.527 1.281
Hf 0.291 2.255 3.699
Hf -0.369 2.154 0.412
Hf 2.867 2.359 5.771
Hf 2.185 0.412 0.036
Hf 0.076 -0.362 2.193
Hf 1.897 5.107 4.171
Hf 4.761 3.631 3.352
Hf 2.867 5.474 7.015
Hf 3.155 0.779 2.880
Hf 5.421 3.732 6.640
Hf 4.976 6.248 4.859
Sb 5.498 1.344 4.891
Sb -0.445 4.543 2.160
Sb 0.495 3.805 6.421
Sb 3.686 6.127 2.196
Sb 1.366 -0.241 4.855
Sb 4.558 2.081 0.630
N 0.000 0.000 0.000
```

Values from the calculation:
- formation energy without anion corrections (meV/atom) = -339.6
- final energy (eV per atom) = -8.37
- DOS(E_F) (states/eV per cell) = 15.751

---

# 19
A relaxed structure of Hf4Sb2N, computed with GGA-PBE.

Geometry as extended XYZ:
```
7
Lattice="3.296 0.000 0.000 0.000 6.116 -0.169 -1.648 -3.134 7.012" Properties=species:S:1:pos:R:3 pbc="T T T"
N 0.000 0.000 0.000
Sb 0.000 -0.028 3.546
Sb 1.648 3.011 3.296
Hf 1.648 0.926 1.161
Hf 1.648 -1.139 5.803
Hf 0.000 2.057 5.681
Hf 0.000 4.121 1.039
```

Values from the calculation:
- formation energy without anion corrections (meV/atom) = -634.1
- energy above the lowest structure with this stoichiometry (eV per atom) = 0.011
- final energy (eV per atom) = -8.69
- DOS(E_F) (states/eV per cell) = 3.775

---

# 20
A relaxed structure of Hf4SbN2, computed with GGA-PBE.

Geometry as extended XYZ:
```
7
Lattice="-4.433 -0.848 -2.529 1.133 -5.039 -0.296 -4.197 -3.796 3.339" Properties=species:S:1:pos:R:3 pbc="T T T"
Hf -2.216 -0.424 -1.264
Hf 0.567 -2.520 -0.148
Hf -2.863 -3.349 0.850
Hf -4.634 -6.334 -0.336
Sb 0.000 0.000 0.000
N -1.957 -3.046 -0.840
N -5.540 -6.637 1.354
```

Values from the calculation:
- formation energy without anion corrections (meV/atom) = 246.8
- energy above the lowest structure with this stoichiometry (eV per atom) = 0.998
- final energy (eV per atom) = -8.41
- DOS(E_F) (states/eV per cell) = 5.451